DyMgZn GGA-PBE optimized geometry; energy of formation = -175 meV/atom; space group = P-6m2, No. 187; calculated total energy = -7.995 eV for the cell shown; DOS at the Fermi energy = 3.04 states/eV per cell
1.0
4.849 0.000 0.000
-2.425 4.200 0.000
0.000 0.000 3.344
Dy Mg Zn
1 1 1
Direct
0.000 0.000 0.000 Dy
0.333 0.667 0.500 Mg
0.667 0.333 0.500 Zn

Mg2CuAs GGA-PBE optimized geometry; energy of formation = -217 meV/atom; space group = P4/mmm, No. 123; calculated total energy = -12.804 eV for the cell shown; DOS at the Fermi energy = 1.15 states/eV per cell
1.0
4.301 0.000 0.000
0.000 4.301 0.000
0.000 0.000 3.730
Mg Cu As
2 1 1
Direct
0.000 0.500 0.000 Mg
0.500 0.000 0.000 Mg
0.000 0.000 0.500 Cu
0.500 0.500 0.500 As